# 1
Below is a PBEsol-optimized structure of Cr2CoTc, with properties calculated at the SCAN level.

The value obtained for the energy is -88.37 eV for the cell shown. Its energy of formation is 0.1919 eV per atom. As for the total magnetization: 0.00 μB per atom.

It has space group P4/mmm (No. 123), with a = 3.602 Å, b = 3.602 Å, c = 3.569 Å, α = 90.00°, β = 90.00° and γ = 90.00°. The inequivalent atoms are Cr at (0.000, 0.500, 0.000), Co at (0.000, 0.000, 0.500) and Tc at (0.500, 0.500, 0.500).

=====

# 2
Below is a PBEsol-optimized structure of ScCdMo2, with properties calculated at the SCAN level.

The value obtained for the energy is -226.56 eV for the cell shown. Its energy of formation is 0.2853 eV per atom. As for the total magnetization: 0.00 μB per atom.

It has space group Cm (No. 8), with a = 9.459 Å, b = 2.757 Å, c = 5.325 Å, α = 90.00°, β = 93.44° and γ = 90.00°. The inequivalent atoms are Sc at (0.000, 0.000, 0.000), Cd at (0.255, 0.000, 0.753), Mo at (0.016, 0.500, 0.480) and Mo at (0.258, 0.500, 0.265).

=====

# 3
Below is a PBEsol-optimized structure of TlAsPBr2, with properties calculated at the SCAN level.

The value obtained for the energy is -138.05 eV for the cell shown. As for the raw formation energy: 763 meV/atom. As for the total magnetization: 0.17 μB per atom.

It has space group P4/mmm (No. 123), with a = 5.425 Å, b = 5.425 Å, c = 5.531 Å, α = 90.00°, β = 90.00° and γ = 90.00°. The inequivalent atoms are Tl at (0.000, 0.000, 0.000), As at (0.000, 0.000, 0.500), P at (0.500, 0.500, 0.500) and Br at (0.000, 0.500, 0.000).

=====

# 4
Below is a PBEsol-optimized structure of MnRh2O4, with properties calculated at the SCAN level.

The value obtained for the energy is -960.28 eV for the cell shown. As for the raw formation energy: -1330 meV/atom. As for the total magnetization: 0.71 μB per atom.

It has space group Fd-3m (No. 227, origin choice 2), with a = 8.550 Å, b = 8.550 Å, c = 8.550 Å, α = 90.00°, β = 90.00° and γ = 90.00°. The inequivalent atoms are Mn at (0.125, 0.125, 0.125), Rh at (0.000, 0.000, 0.500) and O at (0.012, 0.012, 0.738).